Computed, not measured: a relaxed InBi crystal at the PBEsol level of DFT.

Output
Calculated formation energy (eV per atom): -0.012
Total magnetic moment (μB/cell): 0.00
Raw total energy (eV/cell): -14.585

CIF file:
```
data_InBi
_cell_length_a 4.883
_cell_length_b 4.883
_cell_length_c 4.883
_cell_angle_alpha 90.00
_cell_angle_beta 90.00
_cell_angle_gamma 90.00
_symmetry_space_group_name_H-M 'P 4/n m m'
_symmetry_Int_Tables_number 129
loop_
_symmetry_equiv_pos_as_xyz
'x,y,z'
'-x,-y,-z'
'-y+1/2,x,z'
'y+1/2,-x,-z'
'-x+1/2,-y+1/2,z'
'x+1/2,y+1/2,-z'
'y,-x+1/2,z'
'-y,x+1/2,-z'
'x+1/2,-y,-z'
'-x+1/2,y,z'
'-y,-x,-z'
'y,x,z'
'-x,y+1/2,-z'
'x,-y+1/2,z'
'y+1/2,x+1/2,-z'
'-y+1/2,-x+1/2,z'
loop_
_atom_site_label
_atom_site_type_symbol
_atom_site_fract_x
_atom_site_fract_y
_atom_site_fract_z
In1 In 0.250 0.750 0.000
Bi1 Bi 0.250 0.250 0.399
```

Computed, not measured: a relaxed CaGa2Au2 crystal at the PBEsol level of DFT.

Output
Calculated formation energy (eV per atom): -0.559
Total magnetic moment (μB/cell): 0.00
Raw total energy (eV/cell): -38.916

CIF file:
```
data_CaGa2Au2
_cell_length_a 4.116
_cell_length_b 4.116
_cell_length_c 11.792
_cell_angle_alpha 90.00
_cell_angle_beta 90.00
_cell_angle_gamma 90.00
_symmetry_space_group_name_H-M 'I 4/m m m'
_symmetry_Int_Tables_number 139
_symmetry_space_group_name_Hall '-I 4 2'
loop_
_atom_site_label
_atom_site_type_symbol
_atom_site_fract_x
_atom_site_fract_y
_atom_site_fract_z
Ca1 Ca 0.000 0.000 0.000
Ga1 Ga 0.000 0.500 0.250
Au1 Au 0.000 0.000 0.385
```

Computed, not measured: a relaxed NaYTl2 crystal at the PBEsol level of DFT.

Output
Calculated formation energy (eV per atom): -0.289
Total magnetic moment (μB/cell): 0.00
Raw total energy (eV/cell): -58.557

CIF file:
```
data_NaYTl2
_cell_length_a 7.404
_cell_length_b 7.404
_cell_length_c 7.404
_cell_angle_alpha 90.00
_cell_angle_beta 90.00
_cell_angle_gamma 90.00
_symmetry_space_group_name_H-M 'F m -3 m'
_symmetry_Int_Tables_number 225
_symmetry_space_group_name_Hall '-F 4 2 3'
loop_
_atom_site_label
_atom_site_type_symbol
_atom_site_fract_x
_atom_site_fract_y
_atom_site_fract_z
Na1 Na 0.000 0.000 0.000
Y1 Y 0.000 0.000 0.500
Tl1 Tl 0.250 0.250 0.250
```

Computed, not measured: a relaxed ZrTe2P crystal at the PBEsol level of DFT.

Output
Uncorrected formation energy (meV per atom): -54
Total magnetic moment (μB/cell): 0.00
Raw total energy (eV/cell): -44.300

CIF file:
```
data_ZrTe2P
_cell_length_a 4.266
_cell_length_b 4.266
_cell_length_c 9.541
_cell_angle_alpha 90.00
_cell_angle_beta 90.00
_cell_angle_gamma 90.00
_symmetry_space_group_name_H-M 'I 4/m m m'
_symmetry_Int_Tables_number 139
_symmetry_space_group_name_Hall '-I 4 2'
loop_
_atom_site_label
_atom_site_type_symbol
_atom_site_fract_x
_atom_site_fract_y
_atom_site_fract_z
Zr1 Zr 0.000 0.000 0.000
Te1 Te 0.000 0.500 0.250
P1 P 0.000 0.000 0.500
```

Computed, not measured: a relaxed CuAsCl2 crystal at the PBEsol level of DFT.

Output
Uncorrected formation energy (meV per atom): 420
Total magnetic moment (μB/cell): 0.00
Raw total energy (eV/cell): -23.554

CIF file:
```
data_CuAsCl2
_cell_length_a 4.585
_cell_length_b 4.585
_cell_length_c 6.536
_cell_angle_alpha 90.00
_cell_angle_beta 90.00
_cell_angle_gamma 90.00
_symmetry_space_group_name_H-M 'I 4/m m m'
_symmetry_Int_Tables_number 139
_symmetry_space_group_name_Hall '-I 4 2'
loop_
_atom_site_label
_atom_site_type_symbol
_atom_site_fract_x
_atom_site_fract_y
_atom_site_fract_z
Cu1 Cu 0.000 0.000 0.000
As1 As 0.000 0.000 0.500
Cl1 Cl 0.000 0.500 0.250
```

Computed, not measured: a relaxed MgTeSe2 crystal at the PBEsol level of DFT.

Output
Uncorrected formation energy (meV per atom): -90
Total magnetic moment (μB/cell): 0.00
Raw total energy (eV/cell): -26.611

CIF file:
```
data_MgTeSe2
_cell_length_a 3.993
_cell_length_b 3.993
_cell_length_c 11.581
_cell_angle_alpha 90.00
_cell_angle_beta 90.00
_cell_angle_gamma 90.00
_symmetry_space_group_name_H-M 'I 4/m m m'
_symmetry_Int_Tables_number 139
_symmetry_space_group_name_Hall '-I 4 2'
loop_
_atom_site_label
_atom_site_type_symbol
_atom_site_fract_x
_atom_site_fract_y
_atom_site_fract_z
Mg1 Mg 0.000 0.000 0.000
Te1 Te 0.000 0.000 0.500
Se1 Se 0.000 0.500 0.250
```

Computed, not measured: a relaxed FeSi crystal at the PBEsol level of DFT.

Output
Uncorrected formation energy (meV per atom): -547
Total magnetic moment (μB/cell): 0.00
Raw total energy (eV/cell): -63.219

CIF file:
```
data_FeSi
_cell_length_a 8.344
_cell_length_b 2.669
_cell_length_c 3.952
_cell_angle_alpha 90.00
_cell_angle_beta 107.13
_cell_angle_gamma 90.00
_symmetry_space_group_name_H-M 'C 1 2/m 1'
_symmetry_Int_Tables_number 12
loop_
_symmetry_equiv_pos_as_xyz
'x,y,z'
'-x,-y,-z'
'-x,y,-z'
'x,-y,z'
'x+1/2,y+1/2,z'
'-x+1/2,-y+1/2,-z'
'-x+1/2,y+1/2,-z'
'x+1/2,-y+1/2,z'
loop_
_atom_site_label
_atom_site_type_symbol
_atom_site_fract_x
_atom_site_fract_y
_atom_site_fract_z
Fe1 Fe 0.120 0.000 0.302
Si1 Si 0.122 0.500 0.807
```

Computed, not measured: a relaxed LaZrTe3 crystal at the PBEsol level of DFT.

Output
Uncorrected formation energy (meV per atom): 336
Total magnetic moment (μB/cell): 1.32
Raw total energy (eV/cell): -23.335

CIF file:
```
data_LaZrTe3
_cell_length_a 5.916
_cell_length_b 5.916
_cell_length_c 5.916
_cell_angle_alpha 90.00
_cell_angle_beta 90.00
_cell_angle_gamma 90.00
_symmetry_space_group_name_H-M 'P m -3 m'
_symmetry_Int_Tables_number 221
_symmetry_space_group_name_Hall '-P 4 2 3'
loop_
_atom_site_label
_atom_site_type_symbol
_atom_site_fract_x
_atom_site_fract_y
_atom_site_fract_z
La1 La 0.000 0.000 0.000
Zr1 Zr 0.500 0.500 0.500
Te1 Te 0.000 0.000 0.500
```

Computed, not measured: a relaxed HfZrGa3 crystal at the PBEsol level of DFT.

Output
Calculated formation energy (eV per atom): 0.748
Total magnetic moment (μB/cell): 0.00
Raw total energy (eV/cell): -25.872

CIF file:
```
data_HfZrGa3
_cell_length_a 4.891
_cell_length_b 4.891
_cell_length_c 4.891
_cell_angle_alpha 90.00
_cell_angle_beta 90.00
_cell_angle_gamma 90.00
_symmetry_space_group_name_H-M 'P m -3 m'
_symmetry_Int_Tables_number 221
_symmetry_space_group_name_Hall '-P 4 2 3'
loop_
_atom_site_label
_atom_site_type_symbol
_atom_site_fract_x
_atom_site_fract_y
_atom_site_fract_z
Hf1 Hf 0.000 0.000 0.000
Zr1 Zr 0.500 0.500 0.500
Ga1 Ga 0.000 0.500 0.500
```

Computed, not measured: a relaxed LiMnAu crystal at the PBEsol level of DFT.

Output
Calculated formation energy (eV per atom): 0.340
Total magnetic moment (μB/cell): 16.75
Raw total energy (eV/cell): -58.529

CIF file:
```
data_LiMnAu
_cell_length_a 5.998
_cell_length_b 5.998
_cell_length_c 5.998
_cell_angle_alpha 90.00
_cell_angle_beta 90.00
_cell_angle_gamma 90.00
_symmetry_space_group_name_H-M 'F -4 3 m'
_symmetry_Int_Tables_number 216
_symmetry_space_group_name_Hall 'F -4 2 3'
loop_
_atom_site_label
_atom_site_type_symbol
_atom_site_fract_x
_atom_site_fract_y
_atom_site_fract_z
Li1 Li 0.000 0.000 0.000
Mn1 Mn 0.250 0.250 0.250
Au1 Au 0.000 0.000 0.500
```

Computed, not measured: a relaxed ZrScCrGe2 crystal at the PBEsol level of DFT.

Output
Calculated formation energy (eV per atom): 0.153
Total magnetic moment (μB/cell): 0.00
Raw total energy (eV/cell): -35.050

CIF file:
```
data_ZrScCrGe2
_cell_length_a 4.585
_cell_length_b 4.585
_cell_length_c 4.640
_cell_angle_alpha 90.00
_cell_angle_beta 90.00
_cell_angle_gamma 90.00
_symmetry_space_group_name_H-M 'P 4/m m m'
_symmetry_Int_Tables_number 123
_symmetry_space_group_name_Hall '-P 4 2'
loop_
_atom_site_label
_atom_site_type_symbol
_atom_site_fract_x
_atom_site_fract_y
_atom_site_fract_z
Zr1 Zr 0.000 0.000 0.000
Sc1 Sc 0.500 0.500 0.000
Cr1 Cr 0.000 0.000 0.500
Ge1 Ge 0.000 0.500 0.500
```

Computed, not measured: a relaxed VPdAu2 crystal at the PBEsol level of DFT.

Output
Calculated formation energy (eV per atom): -0.023
Total magnetic moment (μB/cell): 2.08
Raw total energy (eV/cell): -94.136

CIF file:
```
data_VPdAu2
_cell_length_a 6.261
_cell_length_b 6.261
_cell_length_c 6.261
_cell_angle_alpha 90.00
_cell_angle_beta 90.00
_cell_angle_gamma 90.00
_symmetry_space_group_name_H-M 'F m -3 m'
_symmetry_Int_Tables_number 225
_symmetry_space_group_name_Hall '-F 4 2 3'
loop_
_atom_site_label
_atom_site_type_symbol
_atom_site_fract_x
_atom_site_fract_y
_atom_site_fract_z
V1 V 0.000 0.000 0.000
Pd1 Pd 0.000 0.000 0.500
Au1 Au 0.250 0.250 0.250
```